(1)
This record from the Alexandria database describes a relaxed Fe6Sb crystal. The functional is PBE.

Structure (CIF):
```
data_Fe6Sb
_chemical_formula_sum 'Fe12 Sb2'
_cell_length_a 6.000
_cell_length_b 6.000
_cell_length_c 6.000
_cell_angle_alpha 90.00
_cell_angle_beta 90.00
_cell_angle_gamma 90.00
_space_group_name_H-M_alt 'I m -3 m'
_space_group_IT_number 229
_space_group_name_Hall '-I 4 2 3'
loop_
_atom_site_label
_atom_site_fract_x
_atom_site_fract_y
_atom_site_fract_z
Fe1 0.000 0.250 0.500
Sb1 0.000 0.000 0.000
```

raw formation energy: 1.0476 eV per atom
uncorrected energy: -95.13 eV per cell
theoretical density: 7.024 g cm⁻³

---

(2)
This record from the Alexandria database describes a relaxed CoW2Se crystal. The functional is PBE.

Structure (CIF):
```
data_CoW2Se
_chemical_formula_sum 'Co2 W4 Se2'
_cell_length_a 9.049
_cell_length_b 2.932
_cell_length_c 4.591
_cell_angle_alpha 90.00
_cell_angle_beta 107.27
_cell_angle_gamma 90.00
_space_group_name_H-M_alt 'C 1 m 1'
_space_group_IT_number 8
loop_
_space_group_symop_operation_xyz
'x,y,z'
'x,-y,z'
'x+1/2,y+1/2,z'
'x+1/2,-y+1/2,z'
loop_
_atom_site_label
_atom_site_fract_x
_atom_site_fract_y
_atom_site_fract_z
Co1 0.000 0.000 0.000
W1 0.265 0.000 0.868
W2 0.482 0.000 0.498
Se1 0.233 0.500 0.325
```

raw formation energy: 0.3467 eV per atom
uncorrected energy: -70.22 eV per cell
theoretical density: 14.437 g cm⁻³

---

(3)
This record from the Alexandria database describes a relaxed LiSbH2 crystal. The functional is PBE.

Structure (CIF):
```
data_LiSbH2
_chemical_formula_sum 'Li4 Sb4 H8'
_cell_length_a 4.821
_cell_length_b 4.821
_cell_length_c 8.940
_cell_angle_alpha 90.00
_cell_angle_beta 90.00
_cell_angle_gamma 90.00
_space_group_name_H-M_alt 'I -4 2 d'
_space_group_IT_number 122
_space_group_name_Hall 'I -4 2bw'
loop_
_atom_site_label
_atom_site_fract_x
_atom_site_fract_y
_atom_site_fract_z
Li1 0.000 0.000 0.000
Sb1 0.000 0.000 0.500
H1 0.172 0.250 0.125
```

polymorph energy (0 for the lowest one): 0.81 eV per formula unit
uncorrected energy: -46.88 eV per cell
theoretical density: 4.179 g cm⁻³

---

(4)
This record from the Alexandria database describes a relaxed CuH6Rh2Pb crystal. The functional is PBE.

Structure (CIF):
```
data_CuH6Rh2Pb
_chemical_formula_sum 'Cu4 H24 Rh8 Pb4'
_cell_length_a 7.978
_cell_length_b 10.570
_cell_length_c 4.987
_cell_angle_alpha 90.00
_cell_angle_beta 112.92
_cell_angle_gamma 90.00
_space_group_name_H-M_alt 'C 1 2/c 1'
_space_group_IT_number 15
loop_
_space_group_symop_operation_xyz
'x,y,z'
'-x,-y,-z'
'-x,y,-z+1/2'
'x,-y,z+1/2'
'x+1/2,y+1/2,z'
'-x+1/2,-y+1/2,-z'
'-x+1/2,y+1/2,-z+1/2'
'x+1/2,-y+1/2,z+1/2'
loop_
_atom_site_label
_atom_site_fract_x
_atom_site_fract_y
_atom_site_fract_z
Cu1 0.000 0.009 0.250
H1 0.058 0.113 0.032
H2 0.193 0.214 0.820
H3 0.239 0.497 0.143
Rh1 0.212 0.379 0.864
Pb1 0.000 0.345 0.250
```

uncorrected energy: -168.76 eV per cell
theoretical density: 8.276 g cm⁻³

---

(5)
This record from the Alexandria database describes a relaxed KSrZnN2 crystal. The functional is PBE.

Structure (CIF):
```
data_KSrZnN2
_chemical_formula_sum 'K1 Sr1 Zn1 N2'
_cell_length_a 4.953
_cell_length_b 4.953
_cell_length_c 5.926
_cell_angle_alpha 90.00
_cell_angle_beta 90.00
_cell_angle_gamma 90.00
_space_group_name_H-M_alt 'P 4/m m m'
_space_group_IT_number 123
_space_group_name_Hall '-P 4 2'
loop_
_atom_site_label
_atom_site_fract_x
_atom_site_fract_y
_atom_site_fract_z
K1 0.000 0.000 0.000
Sr1 0.500 0.500 0.500
Zn1 0.500 0.500 0.000
N1 0.000 0.500 0.500
```

raw formation energy: 1.0695 eV per atom
uncorrected energy: -15.36 eV per cell
theoretical density: 2.514 g cm⁻³

---

(6)
This record from the Alexandria database describes a relaxed Ca2Ac3Nd3 crystal. The functional is PBE.

Structure (CIF):
```
data_Ca2Ac3Nd3
_chemical_formula_sum 'Ca4 Ac6 Nd6'
_cell_length_a 5.357
_cell_length_b 5.501
_cell_length_c 21.926
_cell_angle_alpha 90.00
_cell_angle_beta 90.00
_cell_angle_gamma 90.00
_space_group_name_H-M_alt 'I m m m'
_space_group_IT_number 71
_space_group_name_Hall '-I 2 2'
loop_
_atom_site_label
_atom_site_fract_x
_atom_site_fract_y
_atom_site_fract_z
Ca1 0.000 0.000 0.249
Ac1 0.000 0.000 0.000
Ac2 0.000 0.500 0.121
Nd1 0.000 0.000 0.500
Nd2 0.000 0.500 0.380
```

formation energy: 4 kJ per mole of atoms
uncorrected energy: -60.53 eV per cell
theoretical density: 6.137 g cm⁻³